Entry 1:
10
Lattice="7.439 0.000 0.000 0.000 7.439 0.000 0.000 0.000 3.158" Properties=species:S:1:pos:R:3 comment="GGA-PBE Zn2Cd2Rh, relaxed" n_ef_per_ev_cell=3.6 ef_ev_per_atom=0.217 de_polymorph_ev_per_atom=0.184 final_energy_ev_per_atom=-2.129 mass_density_g_cm3=8.715 pbc="T T T"
Zn 1.233 4.952 1.579
Zn 4.952 6.206 1.579
Zn 6.206 2.486 1.579
Zn 2.486 1.233 1.579
Rh 0.000 0.000 0.000
Rh 3.719 3.719 0.000
Cd 2.690 6.410 0.000
Cd 6.410 4.749 0.000
Cd 4.749 1.029 0.000
Cd 1.029 2.690 0.000

---

Entry 2:
5
Lattice="-3.060 -0.433 5.523 -3.211 -1.232 -1.875 1.944 -5.992 0.608" Properties=species:S:1:pos:R:3 comment="GGA-PBE Na2YScF, relaxed" raw_formation_energy_ev_per_atom=-0.4527 n_ef_per_ev_cell=5.2 final_energy_ev_per_atom=-3.914 mass_density_g_cm3=2.104 pbc="T T T"
Y -2.163 -3.828 2.128
Sc 0.000 0.000 0.000
F -1.605 -0.616 -0.938
Na 0.972 -2.996 0.304
Na -1.530 -0.216 2.762

---

Entry 3:
8
Lattice="4.832 -0.008 0.000 -2.420 5.495 0.000 0.000 0.000 6.809" Properties=species:S:1:pos:R:3 comment="GGA-PBE EuMgGa2, relaxed" n_ef_per_ev_cell=16.5 ef_ev_per_atom=-0.397 final_energy_ev_per_atom=-4.878 mass_density_g_cm3=5.803 pbc="T T T"
Eu -0.003 1.133 5.107
Eu 2.415 4.355 1.702
Mg 2.416 3.297 5.107
Mg -0.004 2.190 1.702
Ga 0.001 4.262 6.421
Ga 0.001 4.262 3.793
Ga 2.411 1.225 0.388
Ga 2.411 1.225 3.016

---

Entry 4:
7
Lattice="5.882 0.000 0.000 0.000 5.882 0.000 -2.941 -2.941 4.238" Properties=species:S:1:pos:R:3 comment="GGA-PBE AcPuReN4, relaxed" raw_formation_energy_ev_per_atom=-0.6765 n_ef_per_ev_cell=8.9 final_energy_ev_per_atom=-9.847 mass_density_g_cm3=8.078 pbc="T T T"
Ac 0.000 0.000 0.000
Pu 2.941 2.941 0.000
Re 0.000 2.941 2.119
N -0.991 -1.737 3.132
N 1.204 3.932 1.106
N 0.991 1.737 3.132
N 4.678 1.950 1.106

---

Entry 5:
4
Lattice="9.959 0.104 0.062 9.240 3.718 0.062 9.240 1.840 3.232" Properties=species:S:1:pos:R:3 comment="GGA-PBE CaTl2Zn, relaxed" n_ef_per_ev_cell=2.8 ef_ev_per_atom=-0.018 final_energy_ev_per_atom=-2.020 mass_density_g_cm3=7.462 pbc="T T T"
Tl 28.438 5.662 3.355
Tl 6.897 1.373 0.814
Ca 21.527 4.286 2.540
Zn 14.236 2.834 1.680

---

Entry 6:
6
Lattice="6.207 0.242 -0.914 0.959 3.418 0.416 -1.174 1.165 8.469" Properties=species:S:1:pos:R:3 comment="GGA-PBE PmY4Co, relaxed" n_ef_per_ev_cell=8.4 ef_ev_per_atom=-0.022 final_energy_ev_per_atom=-6.307 mass_density_g_cm3=5.468 pbc="T T T"
Pm 0.000 0.000 0.000
Y 3.285 0.791 1.316
Y 0.593 1.314 3.200
Y 5.399 3.512 4.772
Y 2.708 4.034 6.656
Co 2.996 2.413 3.986

---

Entry 7:
4
Lattice="-2.385 0.674 2.559 -0.394 -2.276 2.712 5.669 4.174 6.664" Properties=species:S:1:pos:R:3 comment="GGA-PBE Er2AlCd, relaxed" n_ef_per_ev_cell=2.2 ef_ev_per_atom=-0.184 final_energy_ev_per_atom=-3.630 mass_density_g_cm3=7.558 pbc="T T T"
Cd 1.445 1.286 5.968
Al 0.000 0.000 0.000
Er 0.631 0.578 2.916
Er 2.259 1.994 9.019

---

Entry 8:
12
Lattice="4.187 0.000 0.000 -2.094 6.499 -0.857 0.000 -0.277 15.134" Properties=species:S:1:pos:R:3 comment="GGA-PBE Ba5Al2Ga5, relaxed" n_ef_per_ev_cell=10.5 ef_ev_per_atom=-0.190 final_energy_ev_per_atom=-2.876 mass_density_g_cm3=4.402 pbc="T T T"
Ba 2.094 -0.139 7.567
Ba 0.000 4.181 1.226
Ba 0.000 2.802 4.878
Ba 2.094 3.420 9.399
Ba 2.094 2.041 13.050
Al 2.094 5.818 11.702
Al 0.000 0.404 2.575
Ga 2.094 5.517 3.945
Ga 0.000 4.806 12.962
Ga 2.094 1.416 1.315
Ga 0.000 0.705 10.332
Ga 0.000 0.000 0.000

---

Entry 9:
5
Lattice="-1.135 2.007 -3.341 -3.832 -1.209 0.575 -0.710 3.315 2.232" Properties=species:S:1:pos:R:3 comment="GGA-PBE TiMo3H, relaxed" n_ef_per_ev_cell=6.1 de_polymorph_ev_per_atom=0.000 final_energy_ev_per_atom=-8.557 mass_density_g_cm3=8.357 pbc="T T T"
H 0.000 0.000 0.000
Mo -1.916 -0.604 0.288
Mo -0.355 1.658 1.116
Mo -0.567 1.003 -1.671
Ti -2.839 2.057 -0.267

---

Entry 10:
4
Lattice="1.845 0.000 7.928 -0.923 1.598 7.928 -0.923 -1.598 7.928" Properties=species:S:1:pos:R:3 comment="GGA-PBE FeReBr2, relaxed" raw_formation_energy_ev_per_atom=1.0242 n_ef_per_ev_cell=5.3 de_polymorph_ev_per_atom=0.713 final_energy_ev_per_atom=-5.040 mass_density_g_cm3=9.516 pbc="T T T"
Re 0.000 0.000 0.000
Fe 0.000 0.000 11.893
Br 0.000 0.000 21.365
Br 0.000 0.000 2.420

---

Entry 11:
11
Lattice="6.367 0.000 0.000 -3.183 5.974 -1.085 0.000 -4.821 7.357" Properties=species:S:1:pos:R:3 comment="GGA-PBE KRb2In2H6, relaxed" n_ef_per_ev_cell=3.2 final_energy_ev_per_atom=-2.627 mass_density_g_cm3=3.002 pbc="T T T"
K 3.183 -2.410 3.678
Rb 3.183 1.652 1.005
Rb 0.000 -0.499 5.267
In 3.183 1.889 5.048
In 0.000 -0.735 1.223
H 3.183 0.640 3.705
H -1.768 4.135 0.679
H 1.416 -2.982 5.593
H 4.951 -2.982 5.593
H 1.768 4.135 0.679
H 0.000 0.513 2.567

---

Entry 12:
6
Lattice="4.215 0.000 0.000 0.000 4.215 0.000 0.000 0.000 5.535" Properties=species:S:1:pos:R:3 comment="GGA-PBE PmGa2BOs2, relaxed" n_ef_per_ev_cell=2.1 ef_ev_per_atom=-0.462 final_energy_ev_per_atom=-7.118 mass_density_g_cm3=11.411 pbc="T T T"
Pm 0.000 0.000 2.768
Ga 2.107 2.107 4.021
Ga 2.107 2.107 1.515
B 0.000 0.000 0.000
Os 2.107 0.000 0.000
Os 0.000 2.107 0.000